# 1
A plane-wave DFT calculation with PBE-GGA was carried out for an optimized crystal structure of Gd2DyHoGa2.

Calculated values
Crystal system = hexagonal
Raw total energy = -26.8 eV for the cell shown
Size of the total moment = 0.62 μB/f.u.
Space group = P-6m2 (187)

Cell lengths 5.1817, 5.1817, 6.6192 Å; angles 90.00, 90.00, 120.00 degrees
Last column: nearest neighbours and their distance in Å.
Sites, in units of the cell vectors:
Gd 0.0000 0.0000 0.2493  2 Gd 3.30-3.32, 3 Ho 3.42, 6 Ga 3.42, 3 Dy 3.42
Gd 0.0000 0.0000 0.7507  2 Gd 3.30-3.32, 3 Ho 3.42, 6 Ga 3.42, 3 Dy 3.42
Dy 0.6667 0.3333 0.5000  5 Ga 2.99-3.31
Ho 0.3333 0.6667 0.0000  5 Ga 2.99-3.31
Ga 0.3333 0.6667 0.5000  3 Dy 2.99, 2 Ho 3.31
Ga 0.6667 0.3333 0.0000  3 Ho 2.99, 2 Dy 3.31



# 2
A plane-wave DFT calculation with PBE-GGA was carried out for an optimized crystal structure of GdDyGa2I2.

Calculated values
Crystal system = trigonal
Raw total energy = -24.7 eV for the cell shown
Size of the total moment = 0.01 μB/f.u.
Space group = P3m1 (156)

Cell lengths 4.2135, 4.2135, 12.2052 Å; angles 90.00, 90.00, 120.00 degrees
Last column: nearest neighbours and their distance in Å.
Sites, in units of the cell vectors:
Gd 0.0000 0.0000 0.0000  3 Ga 2.96, 3 I 3.15
Dy 0.0000 0.0000 0.6694  3 Ga 2.95, 3 I 3.15
Ga 0.3333 0.6667 0.8625  3 Ga 2.53
Ga 0.6667 0.3333 0.8066  3 Ga 2.53
I 0.3333 0.6667 0.5056  3 Dy 3.15
I 0.6667 0.3333 0.1644  3 Gd 3.15



# 3
A plane-wave DFT calculation with PBE-GGA was carried out for an optimized crystal structure of Gd2DyZn3InGa2.

Calculated values
Crystal system = orthorhombic
Raw total energy = -31.1 eV for the cell shown
Size of the total moment = 0.00 μB/f.u.
Space group = Amm2 (38)

Cell lengths 4.4043, 7.0784, 7.0784 Å; angles 119.88, 90.00, 90.00 degrees
Last column: nearest neighbours and their distance in Å.
Sites, in units of the cell vectors:
Gd 0.0000 0.2206 0.7794  4 Ga 3.04, 2 Zn 3.08, 1 In 3.13
Gd 0.0000 0.7794 0.2206  4 Ga 3.04, 2 Zn 3.08, 1 In 3.13
Dy 0.0000 0.6627 0.6627  4 Ga 3.02, 2 Zn 3.08, 1 In 3.12
Zn 0.5000 0.2213 0.4747  2 Ga 2.69-2.70, 2 In 2.84
Zn 0.5000 0.4747 0.2213  2 Ga 2.69-2.70, 2 In 2.84
Zn 0.5000 0.9671 0.9671  2 Ga 2.68, 2 In 2.85
In 0.0000 0.2227 0.2227  6 Zn 2.84-2.85, 1 Dy 3.12, 2 Gd 3.13
Ga 0.5000 0.5552 0.8866  3 Zn 2.68-2.70
Ga 0.5000 0.8866 0.5552  3 Zn 2.68-2.70



# 4
A plane-wave DFT calculation with PBE-GGA was carried out for an optimized crystal structure of Gd2DyMg3Ga3.

Calculated values
Crystal system = orthorhombic
Raw total energy = -32.1 eV for the cell shown
Size of the total moment = 0.00 μB/f.u.
Space group = Amm2 (38)

Cell lengths 4.4543, 7.3008, 7.3008 Å; angles 119.81, 90.00, 90.00 degrees
Last column: nearest neighbours and their distance in Å.
Sites, in units of the cell vectors:
Gd 0.0000 0.2131 0.7869  5 Ga 3.12, 2 Mg 3.28
Gd 0.0000 0.7869 0.2131  5 Ga 3.12, 2 Mg 3.28
Dy 0.0000 0.6391 0.6391  5 Ga 3.10, 2 Mg 3.29
Mg 0.5000 0.2136 0.4566  4 Ga 2.82-2.84, 2 Mg 3.07-3.08
Mg 0.5000 0.4566 0.2136  4 Ga 2.82-2.84, 2 Mg 3.07-3.08
Mg 0.5000 0.9704 0.9704  4 Ga 2.82-2.86, 2 Mg 3.08
Ga 0.0000 0.2152 0.2152  6 Mg 2.84-2.86, 1 Dy 3.10, 2 Gd 3.12
Ga 0.5000 0.5474 0.8790  3 Mg 2.82-2.83, 2 Dy 3.10, 4 Gd 3.12
Ga 0.5000 0.8790 0.5474  3 Mg 2.82-2.83, 2 Dy 3.10, 4 Gd 3.12



# 5
A plane-wave DFT calculation with PBE-GGA was carried out for an optimized crystal structure of GdDyGa4Ni2.

Calculated values
Crystal system = orthorhombic
Raw total energy = -37.7 eV for the cell shown
Size of the total moment = 0.00 μB/f.u.
Space group = Amm2 (38)

Cell lengths 4.0488, 8.9918, 8.9918 Å; angles 26.47, 90.00, 90.00 degrees
Last column: nearest neighbours and their distance in Å.
Sites, in units of the cell vectors:
Gd 0.0000 0.0000 0.0000  4 Ni 3.12, 10 Ga 3.12-3.29
Dy 0.0000 0.2846 0.2846  4 Ni 3.12, 10 Ga 3.12-3.29
Ga 0.0000 0.6427 0.6427  4 Ni 2.41-2.42
Ga 0.5000 0.1427 0.1427  4 Ni 2.44-2.45
Ga 0.5000 0.4326 0.4326  1 Ni 2.36, 2 Ga 2.50
Ga 0.5000 0.8516 0.8516  1 Ni 2.34, 2 Ga 2.50
Ni 0.5000 0.5673 0.5673  5 Ga 2.36-2.45, 1 Ni 2.63
Ni 0.5000 0.7177 0.7177  5 Ga 2.34-2.44



# 6
A plane-wave DFT calculation with PBE-GGA was carried out for an optimized crystal structure of GdDy2Ga3Ni3.

Calculated values
Crystal system = orthorhombic
Raw total energy = -45.3 eV for the cell shown
Size of the total moment = 0.00 μB/f.u.
Space group = Amm2 (38)

Cell lengths 3.7702, 7.0528, 7.0528 Å; angles 119.98, 90.00, 90.00 degrees
Last column: nearest neighbours and their distance in Å.
Sites, in units of the cell vectors:
Gd 0.0000 0.0000 0.0000  5 Ni 2.85-2.92, 6 Ga 3.07-3.17
Dy 0.0000 0.1740 0.5866  5 Ni 2.84-2.91, 6 Ga 3.06-3.16
Dy 0.0000 0.5866 0.1740  5 Ni 2.84-2.91, 6 Ga 3.06-3.16
Ga 0.5000 0.3427 0.3427  4 Ni 2.55-2.73
Ga 0.5000 0.5850 0.8317  4 Ni 2.56-2.73
Ga 0.5000 0.8317 0.5850  4 Ni 2.56-2.73
Ni 0.0000 0.5857 0.5857  6 Ga 2.55-2.56
Ni 0.5000 0.2547 0.9192  3 Ga 2.69-2.73, 4 Dy 2.84, 2 Gd 2.85
Ni 0.5000 0.9192 0.2547  3 Ga 2.69-2.73, 4 Dy 2.84, 2 Gd 2.85